# VOF2

Crystalline VOF2 at its relaxed geometry (PBE+U, Alexandria via LeMat-Bulk).

Geometry as POSCAR:
```
VOF2
1.0
-3.796 -1.600 -3.294
4.718 1.341 -1.921
4.151 -12.583 1.428
V F O
6 12 6
Direct
0.683 0.318 0.841 V
0.660 0.349 0.341 V
0.023 0.010 0.007 V
0.347 0.708 0.173 V
0.970 0.975 0.506 V
0.367 0.655 0.673 V
0.985 0.410 0.740 F
0.655 0.758 0.079 F
0.909 0.221 0.409 F
0.090 0.346 0.087 F
0.974 0.569 0.244 F
0.321 0.071 0.417 F
0.415 0.990 0.754 F
0.402 0.416 0.251 F
0.117 0.762 0.584 F
0.257 0.337 0.575 F
0.348 0.274 0.920 F
0.926 0.701 0.905 F
0.759 0.639 0.418 O
0.549 0.994 0.248 O
0.778 0.127 0.918 O
0.687 0.900 0.583 O
0.222 0.909 0.080 O
0.556 0.557 0.749 O
```

Values from the calculation:
space-group type: No. 1
electronic total energy: -6.500 eV per atom